DFT (PBE) results for a relaxed MgNpFeTc crystal. Values from VASP.

Summary:
* energy of formation: 19.4 kJ per mole of atoms
* symmetry: F-43m

```
&SYSTEM
  ibrav = 0, nat = 4, ntyp = 4
/
ATOMIC_SPECIES
Mg 24.30 Mg.upf
Np 237.00 Np.upf
Fe 55.84 Fe.upf
Tc 98.00 Tc.upf
CELL_PARAMETERS angstrom
0.0000 3.2078 3.2078
3.2078 0.0000 3.2078
3.2078 3.2078 0.0000
ATOMIC_POSITIONS crystal
Mg 0.0000 0.0000 0.0000
Np 0.5000 0.5000 0.5000
Fe 0.2500 0.2500 0.2500
Tc 0.7500 0.7500 0.7500
```

DFT (PBE) results for a relaxed YSc5Co6 crystal. Values from VASP.

Summary:
* energy of formation: -28.6 kJ per mole of atoms
* symmetry: P2/m

```
&SYSTEM
  ibrav = 0, nat = 12, ntyp = 3
/
ATOMIC_SPECIES
Y 88.91 Y.upf
Sc 44.96 Sc.upf
Co 58.93 Co.upf
CELL_PARAMETERS angstrom
4.4504 0.0000 0.0000
0.0000 6.3614 0.0000
-2.2117 0.0000 6.6930
ATOMIC_POSITIONS crystal
Y 0.0000 0.0000 0.0000
Sc 0.0000 0.5000 0.0000
Sc 0.3302 0.0000 0.6605
Sc 0.3331 0.5000 0.6663
Sc 0.6669 0.5000 0.3337
Sc 0.6698 0.0000 0.3395
Co 0.1704 0.2554 0.3406
Co 0.1704 0.7446 0.3406
Co 0.5000 0.2617 0.0000
Co 0.5000 0.7383 0.0000
Co 0.8296 0.2554 0.6594
Co 0.8296 0.7446 0.6594
```

DFT (PBE) results for a relaxed Tc2AgOs crystal. Values from VASP.

Summary:
* energy of formation: 53.3 kJ per mole of atoms
* symmetry: Imm2
* polymorph energy (0 for the lowest one): 0.288 eV/atom

```
&SYSTEM
  ibrav = 0, nat = 4, ntyp = 3
/
ATOMIC_SPECIES
Tc 98.00 Tc.upf
Ag 107.87 Ag.upf
Os 190.23 Os.upf
CELL_PARAMETERS angstrom
-1.3931 2.3348 4.8460
1.3931 -2.3348 4.8460
1.3931 2.3348 -4.8460
ATOMIC_POSITIONS crystal
Tc 0.0000 0.0000 0.0000
Tc 0.7753 0.2753 0.5000
Ag 0.2833 0.7833 0.5000
Os 0.5555 0.5555 0.0000
```

DFT (PBE) results for a relaxed Cs2CuPtCl6 crystal. Values from VASP.

Summary:
* uncorrected formation energy: -1.051 eV/atom
* symmetry: R-3m

```
&SYSTEM
  ibrav = 0, nat = 20, ntyp = 4
/
ATOMIC_SPECIES
Cs 132.91 Cs.upf
Cu 63.55 Cu.upf
Pt 195.08 Pt.upf
Cl 35.45 Cl.upf
CELL_PARAMETERS angstrom
3.6150 2.0871 11.9697
-3.6150 2.0871 11.9697
0.0000 -4.1743 11.9697
ATOMIC_POSITIONS crystal
Cs 0.1234 0.1234 0.1234
Cs 0.2925 0.2925 0.2925
Cs 0.7075 0.7075 0.7075
Cs 0.8766 0.8766 0.8766
Cu 0.4095 0.4095 0.4095
Cu 0.5905 0.5905 0.5905
Pt 0.0000 0.0000 0.0000
Pt 0.5000 0.5000 0.5000
Cl 0.1499 0.6124 0.6124
Cl 0.2050 0.2050 0.7088
Cl 0.2050 0.7088 0.2050
Cl 0.2912 0.7950 0.7950
Cl 0.3876 0.3876 0.8501
Cl 0.3876 0.8501 0.3876
Cl 0.6124 0.1499 0.6124
Cl 0.6124 0.6124 0.1499
Cl 0.7088 0.2050 0.2050
Cl 0.7950 0.2912 0.7950
Cl 0.7950 0.7950 0.2912
Cl 0.8501 0.3876 0.3876
```